A geometry-optimized Pa3SbN6 structure. Source: Alexandria, functional PBE.

abc: 7.2515 7.2515 5.8961
angles: 90.00 90.00 102.89
Last column: nearest neighbours and their distance in Å.
Fractional coordinates of all 20 atoms:
1 Pa 0.1048 0.8952 0.5000  7 N 2.21-2.44
2 Pa 0.1952 0.4156 0.5511  6 N 2.21-2.41
3 Pa 0.4156 0.1952 0.0511  6 N 2.21-2.41
4 Pa 0.5844 0.8048 0.5511  6 N 2.21-2.41
5 Pa 0.8048 0.5844 0.0511  6 N 2.21-2.41
6 Pa 0.8952 0.1048 0.0000  7 N 2.21-2.44
7 Sb 0.3204 0.6796 0.0988  3 N 2.13-2.14
8 Sb 0.6796 0.3204 0.5988  3 N 2.13-2.14
9 N 0.0624 0.6013 0.2844  1 Sb 2.13, 1 Pa 2.30
10 N 0.1415 0.1772 0.2767  4 Pa 2.34-2.40
11 N 0.1772 0.1415 0.7767  4 Pa 2.34-2.40
12 N 0.2831 0.7169 0.6508  3 Pa 2.21
13 N 0.3987 0.9376 0.2844  1 Sb 2.13, 1 Pa 2.30
14 N 0.4696 0.5304 0.3213  1 Sb 2.14, 2 Pa 2.40
15 N 0.5304 0.4696 0.8213  1 Sb 2.14, 2 Pa 2.40
16 N 0.6013 0.0624 0.7844  1 Sb 2.13, 1 Pa 2.30
17 N 0.7169 0.2831 0.1508  3 Pa 2.21
18 N 0.8228 0.8585 0.2767  4 Pa 2.34-2.40
19 N 0.8585 0.8228 0.7767  4 Pa 2.34-2.40
20 N 0.9376 0.3987 0.7844  1 Sb 2.13, 1 Pa 2.30

Its space-group type is Cmc2_1 (36). For the total moment, the calculation gives 0.00 μB per cell. Its uncorrected formation energy is -1.2006 eV per atom. The calculation puts the volume at 15.11 A^3/atom. The theoretical density is 9.88 g cm⁻³.